# 1
This record from OQMD describes a geometry-optimized HoLuB structure. The functional is PBE.

Structure (POSCAR):
```
HoLuB
1.0
3.4942 -2.7701 -0.1780
0.3542 -3.3368 2.9419
-0.5644 -4.2207 -1.3346
B Ho Lu
1 1 1
Direct
0.0000 0.0000 0.0000
0.2500 0.2500 0.2500
0.7500 0.7500 0.7500
```

Output
* energy above the lowest structure with this stoichiometry: 0.00 kcal/mol of atoms
* symmetry: F-43m, No. 216

***

# 2
This record from OQMD describes a geometry-optimized Ho2Lu2B7 structure. The functional is PBE.

Structure (POSCAR):
```
Ho2Lu2B7
1.0
3.5090 0.0000 0.0000
-0.0611 3.8159 0.0000
-0.2068 -1.3406 11.7853
B Ho Lu
7 2 2
Direct
0.0000 0.0000 0.0000
0.0691 0.9043 0.1255
0.6538 0.4502 0.3361
0.7720 0.4895 0.4680
0.2280 0.5105 0.5320
0.3462 0.5498 0.6639
0.9309 0.0957 0.8745
0.1687 0.9535 0.3503
0.8313 0.0465 0.6497
0.5670 0.3983 0.1292
0.4330 0.6017 0.8708
```

Output
* symmetry: P-1, No. 2

***

# 3
This record from OQMD describes a geometry-optimized HoLuBPb structure. The functional is PBE.

Structure (POSCAR):
```
HoLuBPb
1.0
-2.3619 -2.3226 -1.5330
3.1602 0.7529 -1.6641
7.1632 -12.5233 7.9370
B Ho Lu Pb
2 2 2 2
Direct
0.0000 0.0000 0.2531
0.0000 0.0000 0.7469
0.3333 0.6667 0.1632
0.3333 0.6667 0.8368
0.6667 0.3333 0.3398
0.6667 0.3333 0.6602
0.6667 0.3333 0.0000
0.3333 0.6667 0.5000
```

Output
* symmetry: P-6m2, No. 187

***

# 4
This record from OQMD describes a geometry-optimized HoMgB structure. The functional is PBE.

Structure (POSCAR):
```
HoMgB
1.0
0.0000 3.0351 3.0351
3.0351 0.0000 3.0351
3.0351 3.0351 0.0000
B Ho Mg
1 1 1
Direct
0.0000 0.0000 0.0000
0.2500 0.2500 0.2500
0.7500 0.7500 0.7500
```

Output
* energy above the lowest structure with this stoichiometry: 0.00 kcal/mol of atoms
* symmetry: F-43m, No. 216

***

# 5
This record from OQMD describes a geometry-optimized HoMgB4 structure. The functional is PBE.

Structure (POSCAR):
```
HoMgB4
1.0
1.8955 -3.8567 2.3910
-2.3432 0.4054 4.3045
-0.7744 -0.9061 -4.7711
B Ho Mg
4 1 1
Direct
0.5832 0.2544 0.3288
0.0744 0.7456 0.3288
0.9256 0.2544 0.6712
0.4168 0.7456 0.6712
0.0000 0.0000 0.0000
0.5000 0.5000 0.0000
```

Output
* energy above the lowest structure with this stoichiometry: 0.00 kcal/mol of atoms
* symmetry: Immm, No. 71

***

# 6
This record from OQMD describes a geometry-optimized HoMgB4 structure. The functional is PBE.

Structure (POSCAR):
```
HoMgB4
1.0
3.1828 0.0000 0.0000
-1.5914 2.7564 0.0000
0.0000 0.0000 7.3180
B Ho Mg
4 1 1
Direct
0.6667 0.3333 0.2617
0.3333 0.6667 0.2617
0.6667 0.3333 0.7383
0.3333 0.6667 0.7383
0.0000 0.0000 0.0000
0.0000 0.0000 0.5000
```

Output
* energy above the lowest structure with this stoichiometry: 0.33 kcal/mol of atoms
* symmetry: P6/mmm, No. 191

***

# 7
This record from OQMD describes a geometry-optimized HoMgB structure. The functional is PBE.

Structure (POSCAR):
```
HoMgB
1.0
-1.5958 -3.5573 1.8362
-2.5719 0.3206 3.4431
-4.1976 -0.9100 -0.3537
B Ho Mg
1 1 1
Direct
0.2500 0.2500 0.2500
0.7500 0.7500 0.7500
0.0000 0.0000 0.0000
```

Output
* energy above the lowest structure with this stoichiometry: 20.18 kcal/mol of atoms
* symmetry: F-43m, No. 216

***

# 8
This record from OQMD describes a geometry-optimized HoBMo structure. The functional is PBE.

Structure (POSCAR):
```
HoBMo
1.0
0.0000 3.1219 3.1219
3.1219 0.0000 3.1219
3.1219 3.1219 0.0000
B Ho Mo
1 1 1
Direct
0.2500 0.2500 0.2500
0.0000 0.0000 0.0000
0.7500 0.7500 0.7500
```

Output
* energy above the lowest structure with this stoichiometry: 44.98 kcal/mol of atoms
* symmetry: F-43m, No. 216

***

# 9
This record from OQMD describes a geometry-optimized HoBMo structure. The functional is PBE.

Structure (POSCAR):
```
HoBMo
1.0
-1.2685 -3.5598 -1.6715
-3.2939 -1.9534 1.5523
-3.5265 -0.1323 -2.1497
B Ho Mo
1 1 1
Direct
0.0000 0.0000 0.0000
0.2500 0.2500 0.2500
0.7500 0.7500 0.7500
```

Output
* energy above the lowest structure with this stoichiometry: 9.91 kcal/mol of atoms
* symmetry: F-43m, No. 216

***

# 10
This record from OQMD describes a geometry-optimized HoBMo structure. The functional is PBE.

Structure (POSCAR):
```
HoBMo
1.0
6.7458 0.0000 0.0000
0.0000 3.4122 0.0000
0.0000 0.0000 8.3049
B Ho Mo
4 4 4
Direct
0.7067 0.2500 0.1209
0.2067 0.2500 0.3791
0.7933 0.7500 0.6209
0.2933 0.7500 0.8791
0.0199 0.7500 0.1777
0.5199 0.7500 0.3223
0.4801 0.2500 0.6777
0.9801 0.2500 0.8223
0.3592 0.2500 0.0499
0.8592 0.2500 0.4501
0.1408 0.7500 0.5499
0.6408 0.7500 0.9501
```

Output
* energy above the lowest structure with this stoichiometry: 0.00 kcal/mol of atoms
* symmetry: Pnma, No. 62

***

# 11
This record from OQMD describes a geometry-optimized HoTmSi2BMo2 structure. The functional is PBE.

Structure (POSCAR):
```
HoTmSi2BMo2
1.0
-0.8680 1.7549 5.5145
-1.2549 -2.1381 5.3006
6.4216 -0.4832 -2.8190
B Ho Mo Si Tm
1 1 2 2 1
Direct
0.9994 0.9994 0.9978
0.5759 0.5759 0.3016
0.2154 0.2154 0.0879
0.7844 0.7844 0.9120
0.8699 0.8699 0.3412
0.1303 0.1303 0.6602
0.4247 0.4247 0.6992
```

Output
* symmetry: Cm, No. 8

***

# 12
This record from OQMD describes a geometry-optimized Ho2B4N structure. The functional is PBE.

Structure (POSCAR):
```
Ho2B4N
1.0
4.3865 -0.6278 2.6780
-2.0572 -3.8231 2.8211
1.6634 1.2425 -4.7430
B Ho N
4 2 1
Direct
0.6393 0.5000 0.1393
0.2288 0.0000 0.2288
0.7712 0.0000 0.7712
0.3607 0.5000 0.8607
0.7665 0.2665 0.5000
0.2335 0.7335 0.5000
0.0000 0.0000 0.0000
```

Output
* symmetry: Immm, No. 71

***

# 13
This record from OQMD describes a geometry-optimized Ho4B3N4 structure. The functional is PBE.

Structure (POSCAR):
```
Ho4B3N4
1.0
-0.5294 -2.3445 2.3305
-2.0731 -1.7235 -2.2049
9.3759 -4.7696 -5.0627
B Ho N
3 4 4
Direct
0.0000 0.0000 0.0000
0.7322 0.5000 0.4647
0.2678 0.5000 0.5353
0.5716 0.5008 0.1436
0.1793 0.0000 0.3586
0.8207 0.0000 0.6414
0.4284 0.4992 0.8564
0.0636 0.0008 0.1271
0.6672 0.4999 0.3345
0.3328 0.5001 0.6655
0.9364 0.9992 0.8729
```

Output
* symmetry: C2/m, No. 12

***

# 14
This record from OQMD describes a geometry-optimized Ho2Ni2B3N structure. The functional is PBE.

Structure (POSCAR):
```
Ho2Ni2B3N
1.0
-0.7691 -1.8952 -2.9677
3.0327 1.1872 -1.5441
3.6997 -5.8440 2.7733
B Ho N Ni
3 2 1 2
Direct
0.5000 0.5000 0.1279
0.5000 0.5000 0.3444
0.0000 0.0000 0.8504
0.0000 0.0000 0.3420
0.5000 0.5000 0.6815
0.0000 0.0000 0.6563
0.5000 0.0000 0.9987
0.0000 0.5000 0.9987
```

Output
* symmetry: P4mm, No. 99

***

# 15
This record from OQMD describes a geometry-optimized PrHo2Ni2B2N3 structure. The functional is PBE.

Structure (POSCAR):
```
PrHo2Ni2B2N3
1.0
-1.7599 1.7599 10.1756
1.7599 -1.7599 10.1756
1.7599 1.7599 -10.1756
B Ho N Ni Pr
2 2 3 2 1
Direct
0.1920 0.1920 0.0000
0.8080 0.8080 0.0000
0.3745 0.3745 0.0000
0.6255 0.6255 0.0000
0.1210 0.1210 0.0000
0.5000 0.5000 0.0000
0.8790 0.8790 0.0000
0.7500 0.2500 0.5000
0.2500 0.7500 0.5000
0.0000 0.0000 0.0000
```

Output
* symmetry: I4/mmm, No. 139

***

# 16
This record from OQMD describes a geometry-optimized Pr2HoNi2B2N3 structure. The functional is PBE.

Structure (POSCAR):
```
Pr2HoNi2B2N3
1.0
-1.8031 1.8031 10.0528
1.8031 -1.8031 10.0528
1.8031 1.8031 -10.0528
B Ho N Ni Pr
2 1 3 2 2
Direct
0.1907 0.1907 0.0000
0.8093 0.8093 0.0000
0.0000 0.0000 0.0000
0.1182 0.1182 0.0000
0.5000 0.5000 0.0000
0.8818 0.8818 0.0000
0.7500 0.2500 0.5000
0.2500 0.7500 0.5000
0.3753 0.3753 0.0000
0.6247 0.6247 0.0000
```

Output
* symmetry: I4/mmm, No. 139

***

# 17
This record from OQMD describes a geometry-optimized SmHo2Ni2B2N3 structure. The functional is PBE.

Structure (POSCAR):
```
SmHo2Ni2B2N3
1.0
-1.7462 1.7462 10.1039
1.7462 -1.7462 10.1039
1.7462 1.7462 -10.1039
B Ho N Ni Sm
2 2 3 2 1
Direct
0.1908 0.1908 0.0000
0.8092 0.8092 0.0000
0.3759 0.3759 0.0000
0.6241 0.6241 0.0000
0.1189 0.1189 0.0000
0.5000 0.5000 0.0000
0.8811 0.8811 0.0000
0.7500 0.2500 0.5000
0.2500 0.7500 0.5000
0.0000 0.0000 0.0000
```

Output
* symmetry: I4/mmm, No. 139

***

# 18
This record from OQMD describes a geometry-optimized TbHoNi2B2N2 structure. The functional is PBE.

Structure (POSCAR):
```
TbHoNi2B2N2
1.0
3.4929 0.0000 0.0000
0.0000 3.4929 0.0000
0.0000 0.0000 7.5065
B Ho N Ni Tb
2 1 2 2 1
Direct
0.5000 0.5000 0.3397
0.0000 0.0000 0.6612
0.0000 0.0000 0.1671
0.5000 0.5000 0.1453
0.0000 0.0000 0.8561
0.5000 0.0000 0.4994
0.0000 0.5000 0.4994
0.5000 0.5000 0.8319
```

Output
* symmetry: P4mm, No. 99

***

# 19
This record from OQMD describes a geometry-optimized Tb2HoNi2B2N3 structure. The functional is PBE.

Structure (POSCAR):
```
Tb2HoNi2B2N3
1.0
-1.7413 1.7413 10.0070
1.7413 -1.7413 10.0070
1.7413 1.7413 -10.0070
B Ho N Ni Tb
2 1 3 2 2
Direct
0.1893 0.1893 0.0000
0.8107 0.8107 0.0000
0.0000 0.0000 0.0000
0.1165 0.1165 0.0000
0.5000 0.5000 0.0000
0.8835 0.8835 0.0000
0.7500 0.2500 0.5000
0.2500 0.7500 0.5000
0.3769 0.3769 0.0000
0.6231 0.6231 0.0000
```

Output
* symmetry: I4/mmm, No. 139

***

# 20
This record from OQMD describes a geometry-optimized HoTmNi2B2N2 structure. The functional is PBE.

Structure (POSCAR):
```
HoTmNi2B2N2
1.0
3.4595 0.0000 0.0000
0.0000 3.4595 0.0000
0.0000 0.0000 7.4836
B Ho N Ni Tm
2 1 2 2 1
Direct
0.0000 0.0000 0.3378
0.5000 0.5000 0.6630
0.0000 0.0000 0.8329
0.0000 0.0000 0.1425
0.5000 0.5000 0.8589
0.5000 0.0000 0.4993
0.0000 0.5000 0.4993
0.5000 0.5000 0.1661
```

Output
* symmetry: P4mm, No. 99

***

# 21
This record from OQMD describes a geometry-optimized Ho2TmNi2B2N3 structure. The functional is PBE.

Structure (POSCAR):
```
Ho2TmNi2B2N3
1.0
9.3490 4.0160 -1.2178
7.0575 7.2550 1.6041
-7.4359 -6.8205 1.7901
B Ho N Ni Tm
2 2 3 2 1
Direct
0.1885 0.1885 0.0000
0.8115 0.8115 0.0000
0.3775 0.3775 0.0000
0.6225 0.6225 0.0000
0.1153 0.1153 0.0000
0.5000 0.5000 0.0000
0.8847 0.8847 0.0000
0.7500 0.2500 0.5000
0.2500 0.7500 0.5000
0.0000 0.0000 0.0000
```

Output
* symmetry: I4/mmm, No. 139

***

# 22
This record from OQMD describes a geometry-optimized YHoNi2B2N2 structure. The functional is PBE.

Structure (POSCAR):
```
YHoNi2B2N2
1.0
3.4844 0.0000 0.0000
0.0000 3.4844 0.0000
0.0000 0.0000 7.5095
B Ho N Ni Y
2 1 2 2 1
Direct
0.0000 0.0000 0.3387
0.5000 0.5000 0.6608
0.0000 0.0000 0.8329
0.0000 0.0000 0.1437
0.5000 0.5000 0.8553
0.5000 0.0000 0.5006
0.0000 0.5000 0.5006
0.5000 0.5000 0.1674
```

Output
* symmetry: P4mm, No. 99

***

# 23
This record from OQMD describes a geometry-optimized YHo2Ni2B2N3 structure. The functional is PBE.

Structure (POSCAR):
```
YHo2Ni2B2N3
1.0
-1.7317 1.7317 10.0178
1.7317 -1.7317 10.0178
1.7317 1.7317 -10.0178
B Ho N Ni Y
2 2 3 2 1
Direct
0.1895 0.1895 0.0000
0.8105 0.8105 0.0000
0.3768 0.3768 0.0000
0.6232 0.6232 0.0000
0.1168 0.1168 0.0000
0.5000 0.5000 0.0000
0.8832 0.8832 0.0000
0.7500 0.2500 0.5000
0.2500 0.7500 0.5000
0.0000 0.0000 0.0000
```

Output
* symmetry: I4/mmm, No. 139

***

# 24
This record from OQMD describes a geometry-optimized Tb2HoB2Pd2N3 structure. The functional is PBE.

Structure (POSCAR):
```
Tb2HoB2Pd2N3
1.0
1.2959 -6.1404 8.3567
-2.6506 -8.2677 5.8170
2.3249 5.7384 -8.4193
B Ho N Pd Tb
2 1 3 2 2
Direct
0.1842 0.1842 0.0000
0.8158 0.8158 0.0000
0.0000 0.0000 0.0000
0.1135 0.1135 0.0000
0.5000 0.5000 0.0000
0.8865 0.8865 0.0000
0.7500 0.2500 0.5000
0.2500 0.7500 0.5000
0.3814 0.3814 0.0000
0.6186 0.6186 0.0000
```

Output
* symmetry: I4/mmm, No. 139

***

# 25
This record from OQMD describes a geometry-optimized TbHoB2Pd2N2 structure. The functional is PBE.

Structure (POSCAR):
```
TbHoB2Pd2N2
1.0
3.7000 0.0000 0.0000
0.0000 3.7000 0.0000
0.0000 0.0000 7.6160
B Ho N Pd Tb
2 1 2 2 1
Direct
0.5000 0.5000 0.3264
0.0000 0.0000 0.6746
0.0000 0.0000 0.1616
0.5000 0.5000 0.1390
0.0000 0.0000 0.8624
0.5000 0.0000 0.4993
0.0000 0.5000 0.4993
0.5000 0.5000 0.8374
```

Output
* symmetry: P4mm, No. 99

***

| no. | final energy (eV/atom) |
| --- | --- |
| 1 | -5.23 |
| 2 | -6.05 |
| 3 | -5.09 |
| 4 | -4.33 |
| 5 | -5.81 |
| 6 | -5.80 |
| 7 | -3.45 |
| 8 | -5.52 |
| 9 | -7.04 |
| 10 | -7.47 |
| 11 | -7.41 |
| 12 | -7.15 |
| 13 | -7.71 |
| 14 | -6.80 |
| 15 | -7.46 |
| 16 | -7.43 |
| 17 | -7.51 |
| 18 | -7.39 |
| 19 | -7.55 |
| 20 | -7.40 |
| 21 | -7.57 |
| 22 | -7.62 |
| 23 | -7.74 |
| 24 | -7.42 |
| 25 | -7.25 |